{
  "formula": "CsWIN2",
  "functional": "GGA-PBE",
  "state": "relaxed",
  "cell": [[4.319, 0.000, 0.000], [0.000, 4.319, 0.000], [0.000, 0.000, 5.667]],
  "species": ["Cs", "W", "I", "N", "N"],
  "fractional_positions": [[0.000, 0.000, 0.000], [0.500, 0.500, 0.500], [0.500, 0.500, 0.000], [0.000, 0.500, 0.500], [0.500, 0.000, 0.500]],
  "crystal_system": "tetragonal",
  "relative_energy_ev_per_atom": 0.000,
  "raw_formation_energy_ev_per_atom": 0.645
}